Density functional theory data (PBE) for Tl2InTe after structural relaxation.

```
Tl2InTe
1.0
-5.959 0.174 -0.324
-0.185 -0.229 3.277
0.159 6.297 0.453
Tl In Te
2 1 1
direct
0.000 0.121 0.976 Tl
0.500 0.129 0.280 Tl
0.000 0.621 0.484 In
0.500 0.629 0.760 Te
```

Properties
DOS at the Fermi energy in states/eV/cell: 1.1
ΔE to the lowest computed polymorph in eV per atom: 0.081

***

Density functional theory data (PBE) for TlInTe3 after structural relaxation.

```
TlInTe3
1.0
5.742 0.000 0.000
0.000 5.742 0.000
0.000 0.000 5.742
In Te Tl
1 3 1
direct
0.000 0.000 0.000 In
0.500 0.000 0.000 Te
0.000 0.000 0.500 Te
0.000 0.500 0.000 Te
0.500 0.500 0.500 Tl
```

Properties
DOS at the Fermi energy in states/eV/cell: 4.8
ΔE to the lowest computed polymorph in eV per atom: 0.327